This record from the Alexandria database describes a relaxed RbAlMo2F crystal. The functional is PBE with a Hubbard U.

Structure (POSCAR):
```
RbAlMo2F
1.0
5.853 0.000 0.000
0.000 5.853 0.000
0.000 0.000 4.211
Rb Al Mo F
1 1 2 1
Direct
0.000 0.000 0.000 Rb
0.500 0.500 0.500 Al
0.000 0.500 0.500 Mo
0.500 0.000 0.500 Mo
0.500 0.500 0.000 F
```

SG: P4/mmm (123)
Energy above the lowest structure with this stoichiometry in eV/atom: 0.000
Electronic total energy in eV per atom: -3.6782